No. 1
This record from Alexandria describes a relaxed structure of NaCu3S. The functional is PBE-GGA.

Energy relative to the elements, uncorrected = 135 kJ/mol of formula units
E = -0.24014 Ry/atom
Offset from the most stable computed form = 0.00 eV/f.u.

Lattice parameters (Å, degrees): 4.4786 4.4786 4.4786 90.00 90.00 90.00
With the nearest neighbours (Å) after each atom.
Fractional coordinates of all 5 atoms:
Na  0.5000  0.5000  0.5000  12 Cu 3.17
S  0.0000  0.0000  0.0000  6 Cu 2.24
Cu  0.0000  0.5000  0.0000  2 S 2.24
Cu  0.0000  0.0000  0.5000  2 S 2.24
Cu  0.5000  0.0000  0.0000  2 S 2.24

***

No. 2
This record from Alexandria describes a relaxed structure of Rb4Nd3TiSe8. The functional is PBE-GGA.

Energy relative to the elements, uncorrected = -2384 kJ/mol of formula units
E = -0.36130 Ry/atom

Lattice parameters (Å, degrees): 8.5352 9.4022 8.5355 117.00 120.00 90.00
With the nearest neighbours (Å) after each atom.
Fractional coordinates of all 16 atoms:
Rb  0.5000  0.0000  0.0000  6 Se 3.61
Rb  0.5000  0.0000  0.5000  6 Se 3.41-3.42
Rb  0.0000  0.0000  0.0000  6 Se 3.41-3.42
Rb  0.0000  0.0000  0.5000  6 Se 3.41-3.42
Nd  0.5000  0.5000  0.0000  6 Se 2.96-2.99
Nd  0.5000  0.5000  0.5000  6 Se 2.96-2.99
Nd  0.0000  0.5000  0.5000  6 Se 2.96-2.99
Ti  0.0000  0.5000  0.0000  6 Se 2.75-2.76
Se  0.2186  0.6924  0.9738  1 Ti 2.75, 2 Nd 2.99
Se  0.2187  0.6924  0.4373  1 Ti 2.76, 2 Nd 2.99
Se  0.2649  0.2949  0.5299  3 Nd 2.96
Se  0.7553  0.6924  0.9738  1 Ti 2.75, 2 Nd 2.99
Se  0.2447  0.3076  0.0262  1 Ti 2.75, 2 Nd 2.99
Se  0.7351  0.7051  0.4701  3 Nd 2.96
Se  0.7813  0.3076  0.5627  1 Ti 2.76, 2 Nd 2.99
Se  0.7814  0.3076  0.0262  1 Ti 2.75, 2 Nd 2.99

***

No. 3
This record from Alexandria describes a relaxed structure of SrSnNO2. The functional is PBE-GGA.

Energy relative to the elements, uncorrected = -572 kJ/mol of formula units
E = -0.43885 Ry/atom

Lattice parameters (Å, degrees): 4.1746 4.1746 4.1589 90.00 90.00 90.00
With the nearest neighbours (Å) after each atom.
Fractional coordinates of all 5 atoms:
Sr  0.5000  0.5000  0.5000  8 O 2.95, 4 N 2.95
Sn  0.0000  0.0000  0.0000  2 N 2.08, 4 O 2.09
O  0.0000  0.5000  0.0000  2 Sn 2.09
O  0.5000  0.0000  0.0000  2 Sn 2.09
N  0.0000  0.0000  0.5000  2 Sn 2.08

***

No. 4
This record from Alexandria describes a relaxed structure of Tb3ErSc3Se8. The functional is PBE-GGA.

Energy relative to the elements, uncorrected = -2551 kJ/mol of formula units
E = -0.44961 Ry/atom

Lattice parameters (Å, degrees): 7.9231 7.9244 7.9833 119.75 90.00 119.99
With the nearest neighbours (Å) after each atom.
Fractional coordinates of all 15 atoms:
Tb  0.0000  0.0000  0.0000  6 Se 2.87-2.88
Tb  0.0000  0.5000  0.0000  6 Se 2.87-2.88
Tb  0.5000  0.5000  0.0000  6 Se 2.87-2.88
Er  0.0000  0.0000  0.5000  6 Se 2.87
Sc  0.5000  0.0000  0.5000  6 Se 2.75
Sc  0.5000  0.5000  0.5000  6 Se 2.75
Sc  0.0000  0.5000  0.5000  6 Se 2.75
Se  0.2555  0.5111  0.2667  3 Sc 2.75, 3 Tb 2.88
Se  0.7445  0.4889  0.7333  3 Sc 2.75, 3 Tb 2.88
Se  0.7453  0.4906  0.2563  2 Sc 2.75, 1 Er 2.87, 2 Tb 2.87
Se  0.2547  0.5094  0.7437  2 Sc 2.75, 1 Er 2.87, 2 Tb 2.87
Se  0.7452  0.0110  0.2562  2 Sc 2.75, 1 Er 2.87, 2 Tb 2.87-2.88
Se  0.2548  0.9890  0.7438  2 Sc 2.75, 1 Er 2.87, 2 Tb 2.87-2.88
Se  0.2657  0.0110  0.2562  2 Sc 2.75, 1 Er 2.87, 2 Tb 2.87-2.88
Se  0.7343  0.9890  0.7438  2 Sc 2.75, 1 Er 2.87, 2 Tb 2.87-2.88

***

No. 5
This record from Alexandria describes a relaxed structure of NaSrLa2Ru. The functional is PBE-GGA.

E = -0.32442 Ry/atom
E_form = 12 meV per atom
Offset from the most stable computed form = 0.43 eV/f.u.

Lattice parameters (Å, degrees): 5.3963 5.3963 6.2971 90.00 90.00 90.00
With the nearest neighbours (Å) after each atom.
Fractional coordinates of all 5 atoms:
Ru  0.0000  0.0000  0.0000  4 La 2.70
Na  0.0000  0.0000  0.5000  2 Ru 3.15
Sr  0.5000  0.5000  0.5000  4 Na 3.82, 8 La 4.15
La  0.0000  0.5000  0.0000  2 Ru 2.70
La  0.5000  0.0000  0.0000  2 Ru 2.70

***

No. 6
This record from Alexandria describes a relaxed structure of SrLi2CaAg. The functional is PBE-GGA.

E = -0.14567 Ry/atom
E_form = 90 meV per atom
Offset from the most stable computed form = 0.93 eV/f.u.

Lattice parameters (Å, degrees): 5.3439 5.3439 5.9142 90.00 90.00 90.00
With the nearest neighbours (Å) after each atom.
Fractional coordinates of all 5 atoms:
Sr  0.0000  0.0000  0.5000  2 Ag 2.96
Ca  0.5000  0.5000  0.5000  4 Sr 3.78, 8 Li 3.99
Ag  0.0000  0.0000  0.0000  4 Li 2.67, 2 Sr 2.96
Li  0.0000  0.5000  0.0000  2 Ag 2.67
Li  0.5000  0.0000  0.0000  2 Ag 2.67

***

No. 7
This record from Alexandria describes a relaxed structure of TiAlZn. The functional is PBE-GGA.

E = -0.33001 Ry/atom
E_form = -186 meV per atom

Lattice parameters (Å, degrees): 3.9146 5.3286 4.9761 90.00 66.84 90.00
With the nearest neighbours (Å) after each atom.
Fractional coordinates of all 6 atoms:
Ti  0.3054  0.2500  0.3893  5 Zn 2.62-2.83
Ti  0.6946  0.7500  0.6107  5 Zn 2.62-2.83
Al  0.0000  0.0000  0.0000  4 Zn 2.59, 2 Al 2.66
Al  0.0000  0.5000  0.0000  4 Zn 2.59, 2 Al 2.66
Zn  0.6149  0.2500  0.7701  4 Al 2.59, 5 Ti 2.62-2.83
Zn  0.3851  0.7500  0.2299  4 Al 2.59, 5 Ti 2.62-2.83

***

No. 8
This record from Alexandria describes a relaxed structure of Ta2AgW. The functional is PBE-GGA.

E = -0.69983 Ry/atom
E_form = 356 meV per atom
Offset from the most stable computed form = 1.00 eV/f.u.

Lattice parameters (Å, degrees): 10.2268 10.2268 10.2268 16.00 16.00 16.00
With the nearest neighbours (Å) after each atom.
Fractional coordinates of all 4 atoms:
Ag  0.7500  0.7500  0.7500  6 Ag 2.85, 6 Ta 3.02
W  0.2500  0.2500  0.2500  6 W 2.85, 6 Ta 3.00
Ta  0.9996  0.9996  0.9996  6 Ta 2.85, 3 W 3.00, 3 Ag 3.02
Ta  0.5004  0.5004  0.5004  6 Ta 2.85, 3 W 3.00, 3 Ag 3.02

***

No. 9
This record from Alexandria describes a relaxed structure of KGaRh3. The functional is PBE-GGA.

E = -0.33958 Ry/atom
E_form = 616 meV per atom
Offset from the most stable computed form = 0.00 eV/f.u.

Lattice parameters (Å, degrees): 4.7234 4.7234 4.7234 90.00 90.00 90.00
With the nearest neighbours (Å) after each atom.
Fractional coordinates of all 5 atoms:
K  0.5000  0.5000  0.5000  12 Rh 3.34
Rh  0.0000  0.5000  0.0000  2 Ga 2.36
Rh  0.0000  0.0000  0.5000  2 Ga 2.36
Rh  0.5000  0.0000  0.0000  2 Ga 2.36
Ga  0.0000  0.0000  0.0000  6 Rh 2.36

***

No. 10
This record from Alexandria describes a relaxed structure of ScZnSi2. The functional is PBE-GGA.

Energy relative to the elements, uncorrected = -113 kJ/mol of formula units
E = -0.36063 Ry/atom

Lattice parameters (Å, degrees): 5.0874 5.0874 5.0833 135.67 135.67 64.56
With the nearest neighbours (Å) after each atom.
Fractional coordinates of all 4 atoms:
Sc  0.2500  0.7500  0.5000  4 Zn 2.71-2.72, 8 Si 2.88
Si  0.0000  0.0000  0.0000  4 Si 2.71-2.72, 4 Sc 2.88, 4 Zn 2.88
Si  0.5000  0.5000  0.0000  4 Si 2.71-2.72, 4 Sc 2.88, 4 Zn 2.88
Zn  0.7500  0.2500  0.5000  4 Sc 2.71-2.72, 8 Si 2.88

***

No. 11
This record from Alexandria describes a relaxed structure of ReTc4Cl. The functional is PBE-GGA.

Energy relative to the elements, uncorrected = 592 kJ/mol of formula units
E = -0.60791 Ry/atom

Lattice parameters (Å, degrees): 5.1360 5.1360 5.1360 60.00 60.00 60.00
With the nearest neighbours (Å) after each atom.
Fractional coordinates of all 6 atoms:
Re  0.0000  0.0000  0.0000  12 Tc 3.01, 4 Cl 3.15
Tc  0.8739  0.3754  0.3754  6 Tc 2.56-2.58
Tc  0.3754  0.3754  0.8739  6 Tc 2.56-2.58
Tc  0.3754  0.8739  0.3754  6 Tc 2.56-2.58
Tc  0.3754  0.3754  0.3754  6 Tc 2.56-2.58
Cl  0.7500  0.7500  0.7500  12 Tc 3.01, 4 Re 3.15

***

No. 12
This record from Alexandria describes a relaxed structure of SmB2H7. The functional is PBE-GGA.

E = -0.28477 Ry/atom

Lattice parameters (Å, degrees): 3.1876 5.2083 5.2083 99.55 90.00 90.00
With the nearest neighbours (Å) after each atom.
Fractional coordinates of all 10 atoms:
Sm  0.0000  0.0000  0.0000  2 H 2.18
B  0.5000  0.7109  0.2891  2 H 1.24
B  0.5000  0.2891  0.7109  2 H 1.24
H  0.0000  0.7253  0.2747  2 B 1.60
H  0.0000  0.2747  0.7253  2 B 1.60
H  0.5000  0.2118  0.4730  1 B 1.24
H  0.5000  0.7882  0.5270  1 B 1.24
H  0.5000  0.4730  0.2118  1 B 1.24
H  0.5000  0.5270  0.7882  1 B 1.24
H  0.5000  0.5000  0.5000  4 H 1.48

***

No. 13
This record from Alexandria describes a relaxed structure of Li2CaRe. The functional is PBE-GGA.

E = -0.28516 Ry/atom
E_form = 690 meV per atom
Offset from the most stable computed form = 0.87 eV/f.u.

Lattice parameters (Å, degrees): 2.7538 4.9053 4.9053 90.00 90.00 90.00
With the nearest neighbours (Å) after each atom.
Fractional coordinates of all 4 atoms:
Ca  0.5000  0.0000  0.5000  2 Ca 2.75, 8 Li 2.81
Li  0.0000  0.0000  0.0000  2 Li 2.75, 4 Re 2.81, 4 Ca 2.81
Li  0.0000  0.5000  0.5000  2 Li 2.75, 4 Re 2.81, 4 Ca 2.81
Re  0.5000  0.5000  0.0000  2 Re 2.75, 8 Li 2.81

***

Number 1: calculated volume 17.97 Å³ per atom. Number 2: calculated volume 31.57 Å³ per atom. Number 3: calculated volume 14.50 Å³ per atom. Number 4: calculated volume 23.72 Å³ per atom. Number 5: calculated volume 36.68 Å³ per atom. Number 6: calculated volume 33.78 Å³ per atom. Number 7: calculated volume 15.91 Å³ per atom. Number 8: calculated volume 17.71 Å³ per atom. Number 9: calculated volume 21.08 Å³ per atom. Number 10: calculated volume 15.83 Å³ per atom. Number 11: calculated volume 15.97 Å³ per atom. Number 12: calculated volume 8.53 Å³ per atom. Number 13: calculated volume 16.57 Å³ per atom.